# CeZr2Ge

A geometry-optimized CeZr2Ge structure (PBE, the Alexandria database).

## Properties
formation enthalpy at 0 K: -1.33 eV per formula unit
electronic total energy: -7.245 eV/atom
SG: P4/mmm, No. 123

Cell lengths 4.5704, 4.5704, 4.0996 Å; angles 90.00, 90.00, 90.00 degrees
With the nearest neighbours (Å) after each atom.
Fractional coordinates of all 4 atoms:
Ce: 0.0000 0.0000 0.0000  8 Zr 3.07, 4 Ge 3.23
Zr: 0.0000 0.5000 0.5000  4 Ge 3.07, 4 Ce 3.07, 4 Zr 3.23
Zr: 0.5000 0.0000 0.5000  4 Ge 3.07, 4 Ce 3.07, 4 Zr 3.23
Ge: 0.5000 0.5000 0.0000  8 Zr 3.07, 4 Ce 3.23